Entry from Alexandria: a relaxed GaB3N crystal (PBE-GGA).

- Space-group type: Pm-3m, No. 221
- Magnetization: 0.7 Bohr magnetons per cell
- ρ: 2.9 g/cm³
- Energy relative to the lowest polymorph listed for this composition: 1077 meV per atom

a = 4.071 Å, b = 4.071 Å, c = 4.071 Å
α = 90.00°, β = 90.00°, γ = 90.00°
Sites, in units of the cell vectors:
B (0.000, 0.500, 0.000)
B (0.000, 0.000, 0.500)
B (0.500, 0.000, 0.000)
Ga (0.000, 0.000, 0.000)
N (0.500, 0.500, 0.500)